Here is MgBeZnBi after structural relaxation from OQMD. Energies are from PBE-GGA. Values from VASP.

Computed properties:
Distance to the lowest polymorph of the same formula = 0.000 eV per atom
VASP energy = -9.0 eV/cell

Geometry as Quantum ESPRESSO input:
```
&SYSTEM
  ibrav = 0, nat = 4, ntyp = 4
/
ATOMIC_SPECIES
Mg 24.30 Mg.upf
Be 9.01 Be.upf
Zn 65.41 Zn.upf
Bi 208.98 Bi.upf
ATOMIC_POSITIONS angstrom
Mg 0.000 0.000 0.000
Be 5.148 5.148 5.148
Zn 1.716 1.716 1.716
Bi 3.432 3.432 3.432
CELL_PARAMETERS angstrom
0.000 3.432 3.432
3.432 0.000 3.432
3.432 3.432 0.000
```